! Tm3NpAg3Te8, relaxed, DFT GGA-PBE; values from VASP
! * symmetry: No. 12
! * raw total energy: -4.76 eV per atom
! * total moment: 0.199 μB per atom
! * theoretical density: 7.528 Mg/m³
! * E_form (uncorrected): -0.756 eV per atom
&SYSTEM
  ibrav = 0, nat = 15, ntyp = 4
/
ATOMIC_SPECIES
Tm 168.93 Tm.upf
Np 237.00 Np.upf
Ag 107.87 Ag.upf
Te 127.60 Te.upf
ATOMIC_POSITIONS angstrom
Tm -4.781 -1.626 -3.481
Tm -1.407 -3.711 -1.667
Tm -0.669 -3.352 2.617
Np -4.043 -1.267 0.803
Ag 0.000 0.000 0.000
Ag 3.374 -2.085 1.814
Ag 2.636 -2.444 -2.470
Te 0.988 -2.885 0.071
Te -3.802 -4.537 -3.406
Te 0.222 -3.239 -4.208
Te -3.035 -4.183 0.874
Te -3.118 -1.174 -6.004
Te 0.305 -6.248 2.669
Te -2.388 -0.819 -1.763
Te -0.426 -6.603 -1.572
CELL_PARAMETERS angstrom
-1.477 -0.718 -8.568
6.749 -4.171 3.628
-8.086 -2.533 1.606